No. 1
DFT (PBE-GGA) results for a relaxed DyGa4CoCu2 crystal.

Output
crystal system: trigonal
magnetic moment: 0.1 μB per cell
formation energy from the elements: -0.2918 eV per atom
space-group type: No. 166
electronic total energy: -4.293 eV/atom

Lattice parameters (Å, degrees): 4.124 4.124 8.999 76.75 76.75 60.00
Sites, in units of the cell vectors:
Dy (0.000, 0.000, 0.000)
Ga (0.403, 0.403, 0.792)
Ga (0.867, 0.867, 0.399)
Ga (0.133, 0.133, 0.601)
Ga (0.597, 0.597, 0.208)
Co (0.500, 0.500, 0.500)
Cu (0.763, 0.763, 0.710)
Cu (0.237, 0.237, 0.290)

No. 2
DFT (PBE-GGA) results for a relaxed Ac8Pm3Nd2 crystal.

Output
offset from the most stable computed form: 0 meV per atom
crystal system: monoclinic
magnetic moment: 0.0 μB per cell
formation energy from the elements: 0.2062 eV per atom
space-group type: No. 10
electronic total energy: -4.152 eV/atom

Lattice parameters (Å, degrees): 6.191 8.391 11.441 111.50 90.01 90.00
Sites, in units of the cell vectors:
Ac (0.000, 0.673, 0.347)
Ac (0.000, 0.327, 0.653)
Ac (0.000, 0.132, 0.264)
Ac (0.000, 0.868, 0.736)
Ac (0.500, 0.605, 0.791)
Ac (0.500, 0.186, 0.791)
Ac (0.500, 0.814, 0.209)
Ac (0.500, 0.395, 0.209)
Pm (0.500, 0.000, 0.000)
Pm (0.000, 0.291, 0.000)
Pm (0.000, 0.709, 0.000)
Nd (0.500, 0.242, 0.482)
Nd (0.500, 0.758, 0.518)

No. 3
DFT (PBE-GGA) results for a relaxed RuBrNO2 crystal.

Output
crystal system: tetragonal
uncorrected formation energy: 0.398 eV per atom
magnetic moment: 0.0 μB per cell
space-group type: No. 123
electronic total energy: -5.440 eV/atom

Lattice parameters (Å, degrees): 3.871 3.871 4.010 90.00 90.00 90.00
Sites, in units of the cell vectors:
Ru (0.000, 0.000, 0.000)
O (0.000, 0.500, 0.000)
O (0.500, 0.000, 0.000)
Br (0.500, 0.500, 0.500)
N (0.000, 0.000, 0.500)

No. 4
DFT (PBE-GGA) results for a relaxed Fe2Pb crystal.

Output
crystal system: hexagonal
magnetic moment: 9.3 μB per cell
formation energy from the elements: 0.5746 eV per atom
space-group type: No. 194
electronic total energy: -6.303 eV/atom

Lattice parameters (Å, degrees): 4.534 4.534 5.371 90.00 90.00 120.00
Sites, in units of the cell vectors:
Fe (0.000, 0.000, 0.000)
Fe (0.000, 0.000, 0.500)
Fe (0.333, 0.667, 0.250)
Fe (0.667, 0.333, 0.750)
Pb (0.667, 0.333, 0.250)
Pb (0.333, 0.667, 0.750)

| no. | volume (Å³/atom) |
| --- | --- |
| 1 | 16.0 |
| 2 | 42.5 |
| 3 | 12.0 |
| 4 | 15.9 |